## CaCu3H (GGA-PBE)

Data for CaCu3H after structural relaxation.

Structure (POSCAR):
```
CaCu3H
1.0
-5.1018 0.5732 -1.8829
0.7468 -4.2764 -3.3253
-1.8211 -3.3596 3.9115
Cu Ca H
3 1 1
Direct
0.5000 0.0000 0.0000
0.0000 0.5000 0.0000
0.0000 0.0000 0.5000
0.0000 0.0000 0.0000
0.5000 0.5000 0.5000
```

Computed properties:
energy above the most stable polymorph in this dataset	1.401	eV/atom
space group	Pm-3m (221)

***

## Ca2CuHgH (GGA-PBE)

Data for Ca2CuHgH after structural relaxation.

Structure (POSCAR):
```
Ca2CuHgH
1.0
4.8745 0.0000 0.0000
0.0000 4.2757 0.0000
0.0000 0.0000 4.8745
Hg Ca Cu H
1 2 1 1
Direct
0.0000 0.5000 0.0000
0.5000 0.0000 0.0000
0.0000 0.0000 0.5000
0.5000 0.5000 0.5000
0.0000 0.0000 0.0000
```

Computed properties:
energy above the most stable polymorph in this dataset	0.163	eV/atom
space group	P4/mmm (123)

***

## Ca2CuHgH (GGA-PBE)

Data for Ca2CuHgH after structural relaxation.

Structure (POSCAR):
```
Ca2CuHgH
1.0
-3.3829 3.5212 -1.7623
-3.9136 -3.2626 0.9936
-0.3082 1.4047 3.3982
Ca Hg H Cu
2 1 1 1
Direct
0.5000 0.0000 0.0000
0.0000 0.5000 0.0000
0.5000 0.5000 0.5000
0.0000 0.0000 0.0000
0.0000 0.0000 0.5000
```

Computed properties:
energy above the most stable polymorph in this dataset	0.000	eV/atom
space group	P4/mmm (123)

***

## CaInCu2H (GGA-PBE)

Data for CaInCu2H after structural relaxation.

Structure (POSCAR):
```
CaInCu2H
1.0
4.8153 0.0000 0.0000
0.0000 6.1827 0.0000
0.0000 0.0000 4.8153
Cu Ca H In
2 1 1 1
Direct
0.5000 0.0000 0.0000
0.0000 0.0000 0.5000
0.0000 0.5000 0.0000
0.5000 0.5000 0.5000
0.0000 0.0000 0.0000
```

Computed properties:
total DFT energy (no corrections)	-12.380	eV per cell
space group	P4/mmm (123)

***

## Ca2CuHIr (GGA-PBE)

Data for Ca2CuHIr after structural relaxation.

Structure (POSCAR):
```
Ca2CuHIr
1.0
4.9173 0.0000 0.0000
0.0000 4.9173 0.0000
0.0000 0.0000 3.6351
H Cu Ca Ir
1 1 2 1
Direct
0.0000 0.0000 0.0000
0.5000 0.5000 0.5000
0.5000 0.0000 0.0000
0.0000 0.5000 0.0000
0.0000 0.0000 0.5000
```

Computed properties:
total DFT energy (no corrections)	-21.666	eV per cell
space group	P4/mmm (123)

***

## CaCu2H8Ir (GGA-PBE)

Data for CaCu2H8Ir after structural relaxation.

Structure (POSCAR):
```
CaCu2H8Ir
1.0
4.6897 0.0197 0.1109
-0.0613 4.0623 1.7032
0.0277 2.0520 6.4707
Ir H Ca Cu
1 8 1 2
Direct
0.0000 0.0000 0.0000
0.2391 0.8356 0.8974
0.1344 0.6994 0.2988
0.7594 0.6330 0.1003
0.4996 0.2301 0.4994
0.2406 0.3670 0.8997
0.5004 0.7699 0.5006
0.7609 0.1644 0.1026
0.8656 0.3006 0.7012
0.0000 0.0000 0.5000
0.4898 0.2622 0.7377
0.5102 0.7378 0.2623
```

Computed properties:
total DFT energy (no corrections)	-47.897	eV per cell
space group	P-1 (2)

***

## CaLaCu2H8 (GGA-PBE)

Data for CaLaCu2H8 after structural relaxation.

Structure (POSCAR):
```
CaLaCu2H8
1.0
-4.1065 0.3922 1.8963
0.5624 -2.5998 -3.6793
1.4822 -5.9693 4.4445
H La Cu Ca
8 1 2 1
Direct
0.0087 0.6824 0.2739
0.6736 0.9913 0.2739
0.3264 0.0087 0.7261
0.3333 0.6667 0.9839
0.6667 0.3333 0.0161
0.6824 0.6736 0.7261
0.9913 0.3176 0.7261
0.3176 0.3264 0.2739
0.0000 0.0000 0.0000
0.6667 0.3333 0.2325
0.3333 0.6667 0.7675
0.0000 0.0000 0.5000
```

Computed properties:
total DFT energy (no corrections)	-44.110	eV per cell
space group	P-3 (147)

***

## Li2CaCuH (GGA-PBE)

Data for Li2CaCuH after structural relaxation.

Structure (POSCAR):
```
Li2CaCuH
1.0
4.1272 0.0000 0.0000
0.0000 4.1272 0.0000
0.0000 0.0000 4.7876
Li H Cu Ca
2 1 1 1
Direct
0.5000 0.0000 0.0000
0.0000 0.5000 0.0000
0.0000 0.0000 0.0000
0.5000 0.5000 0.5000
0.0000 0.0000 0.5000
```

Computed properties:
total DFT energy (no corrections)	-13.757	eV per cell
space group	P4/mmm (123)

***

## Ca2MgCuH (GGA-PBE)

Data for Ca2MgCuH after structural relaxation.

Structure (POSCAR):
```
Ca2MgCuH
1.0
-0.0095 -2.9799 -3.8142
4.0870 -2.0484 1.5901
-2.3348 -2.8969 2.2691
H Ca Mg Cu
1 2 1 1
Direct
0.0000 0.0000 0.0000
0.0000 0.5000 0.0000
0.5000 0.0000 0.0000
0.0000 0.0000 0.5000
0.5000 0.5000 0.5000
```

Computed properties:
energy above the most stable polymorph in this dataset	0.000	eV/atom
space group	P4/mmm (123)

***

## Ca2MgCuH (GGA-PBE)

Data for Ca2MgCuH after structural relaxation.

Structure (POSCAR):
```
Ca2MgCuH
1.0
-4.8856 -1.8346 0.6794
-0.0718 -1.6582 -4.9942
1.4020 -3.3314 1.0859
Ca H Mg Cu
2 1 1 1
Direct
0.5000 0.0000 0.0000
0.0000 0.5000 0.0000
0.0000 0.0000 0.0000
0.5000 0.5000 0.5000
0.0000 0.0000 0.5000
```

Computed properties:
energy above the most stable polymorph in this dataset	0.005	eV/atom
space group	P4/mmm (123)

***

## NaCa2CuH (GGA-PBE)

Data for NaCa2CuH after structural relaxation.

Structure (POSCAR):
```
NaCa2CuH
1.0
4.9235 0.0000 0.0000
0.0000 4.9235 0.0000
0.0000 0.0000 4.4691
Cu Na H Ca
1 1 1 2
Direct
0.5000 0.5000 0.5000
0.0000 0.0000 0.5000
0.0000 0.0000 0.0000
0.5000 0.0000 0.0000
0.0000 0.5000 0.0000
```

Computed properties:
total DFT energy (no corrections)	-13.042	eV per cell
space group	P4/mmm (123)

***

## CaCuPH2 (GGA-PBE)

Data for CaCuPH2 after structural relaxation.

Structure (POSCAR):
```
CaCuPH2
1.0
3.8640 0.0000 0.0000
0.0000 4.5690 0.0000
0.0000 0.0000 3.8640
H P Ca Cu
2 1 1 1
Direct
0.5000 0.0000 0.0000
0.0000 0.0000 0.5000
0.0000 0.5000 0.0000
0.5000 0.5000 0.5000
0.0000 0.0000 0.0000
```

Computed properties:
total DFT energy (no corrections)	-18.658	eV per cell
space group	P4/mmm (123)